1.
This record from the Alexandria database describes crystalline CaFeRu at its relaxed geometry. The functional is GGA-PBE.

The structure in extended XYZ format:
```
6
Lattice="3.2872 0.0000 0.0000 0.0000 3.2872 0.0000 0.0000 0.0000 10.5285" Properties=species:S:1:pos:R:3 pbc="T T T"
Ca 0.0000 0.0000 0.0000
Ca 1.6436 1.6436 5.2643
Fe 0.0000 0.0000 7.5154
Fe 1.6436 1.6436 2.2511
Ru 0.0000 0.0000 3.0715
Ru 1.6436 1.6436 8.3358
```

SG: I4mm, No. 107
E above lowest polymorph: 14.78 kJ per mole of atoms

***

2.
This record from the Alexandria database describes crystalline CaFe2Ru at its relaxed geometry. The functional is GGA-PBE.

The structure in extended XYZ format:
```
8
Lattice="3.0153 0.0000 0.0000 0.0000 4.6585 0.0000 0.0000 0.0000 9.3359" Properties=species:S:1:pos:R:3 pbc="T T T"
Ca 0.0000 0.0000 0.0000
Ca 1.5076 2.3293 4.6680
Fe 0.0000 2.3293 2.0649
Fe 0.0000 2.3293 7.2710
Fe 1.5076 0.0000 2.6031
Fe 1.5076 0.0000 6.7329
Ru 0.0000 0.0000 4.6680
Ru 1.5076 2.3293 0.0000
```

SG: Immm, No. 71

***

3.
This record from the Alexandria database describes crystalline CaFeRu at its relaxed geometry. The functional is GGA-PBE.

The structure in extended XYZ format:
```
12
Lattice="4.2672 0.0000 0.0000 0.0000 10.5815 0.0000 0.0000 0.0000 5.0510" Properties=species:S:1:pos:R:3 pbc="T T T"
Ca 0.0000 2.3987 1.2627
Ca 0.0000 8.1828 3.7882
Ca 2.1336 2.8921 3.7882
Ca 2.1336 7.6894 1.2627
Fe 0.0000 5.2907 0.0000
Fe 0.0000 5.2907 2.5255
Fe 2.1336 0.0000 0.0000
Fe 2.1336 0.0000 2.5255
Ru 0.0000 0.4470 3.7882
Ru 0.0000 10.1345 1.2627
Ru 2.1336 4.8438 1.2627
Ru 2.1336 5.7377 3.7882
```

SG: Cmcm, No. 63
E above lowest polymorph: 1.94 kJ per mole of atoms

***

4.
This record from the Alexandria database describes crystalline CaFeRu at its relaxed geometry. The functional is GGA-PBE.

The structure in extended XYZ format:
```
6
Lattice="3.8791 0.0000 0.0000 -1.9395 3.3594 0.0000 0.0000 0.0000 9.3289" Properties=species:S:1:pos:R:3 pbc="T T T"
Ca 0.0000 0.0000 0.0000
Ca 0.0000 0.0000 4.6645
Fe 0.0000 2.2396 2.3322
Fe 1.9395 1.1198 6.9967
Ru 0.0000 2.2396 6.9967
Ru 1.9395 1.1198 2.3322
```

SG: P6_3/mmc, No. 194
E above lowest polymorph: 17.57 kJ per mole of atoms

***

5.
This record from the Alexandria database describes crystalline CaFeRu at its relaxed geometry. The functional is GGA-PBE.

The structure in extended XYZ format:
```
6
Lattice="4.9194 0.0000 0.0000 -2.4597 4.2603 0.0000 0.0000 0.0000 8.5199" Properties=species:S:1:pos:R:3 pbc="T T T"
Ca 0.0000 2.8402 2.1300
Ca 2.4597 1.4201 6.3899
Fe 0.0000 0.0000 2.1300
Fe 0.0000 0.0000 6.3899
Ru 0.0000 0.0000 0.0000
Ru 0.0000 0.0000 4.2600
```

SG: P6_3/mmc, No. 194
E above lowest polymorph: 124.28 kJ per mole of atoms

***

6.
This record from the Alexandria database describes crystalline CaFeRu at its relaxed geometry. The functional is GGA-PBE.

The structure in extended XYZ format:
```
6
Lattice="5.0185 0.0000 0.0000 0.0000 4.2466 0.0000 -1.1791 0.0000 5.4857" Properties=species:S:1:pos:R:3 pbc="T T T"
Ca 0.6811 1.0616 2.3327
Ca 3.1584 3.1849 3.1530
Fe 0.7022 3.1849 5.4654
Fe 3.1373 1.0616 0.0203
Ru -0.5260 1.0616 5.0499
Ru 4.3655 3.1849 0.4358
```

SG: P2_1/m, No. 11
E above lowest polymorph: 5.69 kJ per mole of atoms

***

7.
This record from the Alexandria database describes crystalline CaFe3Ru at its relaxed geometry. The functional is GGA-PBE.

The structure in extended XYZ format:
```
5
Lattice="4.6637 0.0000 0.0000 0.0000 4.6637 0.0000 0.0000 0.0000 4.6637" Properties=species:S:1:pos:R:3 pbc="T T T"
Ca 0.0000 0.0000 0.0000
Fe 0.0000 2.3318 2.3318
Fe 2.3318 0.0000 2.3318
Fe 2.3318 2.3318 0.0000
Ru 2.3318 2.3318 2.3318
```

SG: Pm-3m, No. 221

***

8.
This record from the Alexandria database describes crystalline CaFeRu3 at its relaxed geometry. The functional is GGA-PBE.

The structure in extended XYZ format:
```
5
Lattice="4.4931 0.0000 0.0000 0.0000 4.4931 0.0000 0.0000 0.0000 4.4931" Properties=species:S:1:pos:R:3 pbc="T T T"
Ca 0.0000 0.0000 0.0000
Fe 2.2465 2.2465 2.2465
Ru 0.0000 2.2465 2.2465
Ru 2.2465 0.0000 2.2465
Ru 2.2465 2.2465 0.0000
```

SG: Pm-3m, No. 221
E above lowest polymorph: 0.00 kJ per mole of atoms

***

9.
This record from the Alexandria database describes crystalline CaFeRu at its relaxed geometry. The functional is GGA-PBE.

The structure in extended XYZ format:
```
12
Lattice="4.3458 0.0000 0.0000 0.0000 7.1370 0.0000 0.0000 0.0000 7.0804" Properties=species:S:1:pos:R:3 pbc="T T T"
Ca 1.0865 1.2717 0.0000
Ca 1.0865 2.2968 3.5402
Ca 3.2594 4.8402 3.5402
Ca 3.2594 5.8653 0.0000
Fe 1.0865 4.2282 1.1889
Fe 1.0865 6.4773 4.7291
Fe 3.2594 0.6597 4.7291
Fe 3.2594 2.9088 1.1889
Ru 1.0865 4.1943 5.9148
Ru 1.0865 6.5112 2.3746
Ru 3.2594 0.6258 2.3746
Ru 3.2594 2.9427 5.9148
```

SG: Ima2, No. 46
E above lowest polymorph: 10.99 kJ per mole of atoms

***

10.
This record from the Alexandria database describes crystalline Ca4FeRu at its relaxed geometry. The functional is GGA-PBE.

The structure in extended XYZ format:
```
6
Lattice="0.0000 4.3162 4.3162 4.3162 0.0000 4.3162 4.3162 4.3162 0.0000" Properties=species:S:1:pos:R:3 pbc="T T T"
Ca 1.0822 1.0822 1.0822
Ca 3.2340 3.2340 1.0822
Ca 3.2340 1.0822 3.2340
Ca 1.0822 3.2340 3.2340
Fe 6.4743 6.4743 6.4743
Ru 4.3162 4.3162 4.3162
```

SG: F-43m, No. 216

***

11.
This record from the Alexandria database describes crystalline CaFeRu at its relaxed geometry. The functional is GGA-PBE.

The structure in extended XYZ format:
```
6
Lattice="5.0286 0.0000 0.0000 0.0000 4.3143 0.0000 -1.6964 0.0000 5.2844" Properties=species:S:1:pos:R:3 pbc="T T T"
Ca 0.0000 0.0000 0.0000
Ca 0.8989 2.1572 4.8450
Fe -0.1903 0.0000 2.7837
Fe 3.6127 2.1572 2.5648
Ru 0.9756 2.1572 2.0354
Ru 2.3530 0.0000 2.3118
```

SG: Pm, No. 6
E above lowest polymorph: 6.55 kJ per mole of atoms

***

12.
This record from the Alexandria database describes crystalline CaFeRu at its relaxed geometry. The functional is GGA-PBE.

The structure in extended XYZ format:
```
12
Lattice="6.9897 0.0000 0.0000 0.0000 4.1448 0.0000 0.0000 0.0000 7.4404" Properties=species:S:1:pos:R:3 pbc="T T T"
Ca 0.0188 1.0362 1.3417
Ca 3.4761 3.1086 5.0619
Ca 3.5137 1.0362 2.3785
Ca 6.9709 3.1086 6.0987
Fe 1.1543 3.1086 3.1261
Fe 2.3405 1.0362 6.8463
Fe 4.6492 3.1086 0.5941
Fe 5.8354 1.0362 4.3143
Ru 1.1098 1.0362 4.2800
Ru 2.3851 3.1086 0.5598
Ru 4.6047 1.0362 6.8806
Ru 5.8799 3.1086 3.1604
```

SG: Pnma, No. 62
E above lowest polymorph: 7.51 kJ per mole of atoms

***

Sequential energy of formation from the pure elements output: 278.1 486.3 145.0 307.0 1413.0 183.9 860.2 838.7 238.8 1184.0 192.8 202.8 meV per atom
Sequential total DFT energy (no corrections) output: -37.812 -52.515 -77.221 -37.638 -31.002 -38.377 -32.364 -34.098 -76.095 -18.641 -38.323 -76.527 eV per cell
Sequential density output: 5.751 6.403 5.737 5.382 3.664 5.596 5.053 7.307 5.958 3.276 5.707 6.070 g/cm³